# 1
Density functional theory data (PBE-GGA) for a relaxed Dy2TmHgN crystal.

The structure in POSCAR format:
```
Dy2TmHgN
1.0
4.801 0.000 0.000
0.000 4.801 0.000
0.000 0.000 4.716
Dy Tm Hg N
2 1 1 1
Direct
0.000 0.500 0.000
0.500 0.000 0.000
0.000 0.000 0.500
0.500 0.500 0.500
0.000 0.000 0.000
```

## Properties
As for the symmetry: No. 123. The calculation puts the uncorrected energy at -5.40 eV per atom. The total magnetization comes out at 0.0000 μB/atom. For the uncorrected formation energy, the calculation gives -0.94 eV/atom.

=====

# 2
Density functional theory data (PBE-GGA) for a relaxed LiAsPd2 crystal.

The structure in POSCAR format:
```
LiAsPd2
1.0
4.241 0.000 0.000
0.000 4.241 0.000
0.000 0.000 3.261
Li As Pd
1 1 2
Direct
0.000 0.000 0.000
0.500 0.500 0.000
0.000 0.500 0.500
0.500 0.000 0.500
```

## Properties
For the energy of formation, the calculation gives -48.0 kJ per mole of atoms. As for the symmetry: No. 123. The calculation puts the uncorrected energy at -4.74 eV per atom. The total magnetization comes out at 0.0000 μB/atom.